Model w:
A plane-wave DFT calculation with PBE was carried out for NpCd2F8 after structural relaxation.

Calculated values
- theoretical density (kg/m3) = 6889
- M_tot (μB per cell) = 3.00
- symmetry = No. 12
- DOS at the Fermi energy (states/eV/f.u.) = 2.86

Unit cell a=3.9873 b=5.4574 c=7.3264 alpha=104.73 beta=105.79 gamma=90.00
Fractional positions:
Cd 0.8037 0.2916 0.6073
Cd 0.1963 0.7084 0.3927
F 0.5825 0.3853 0.1651
F 0.7840 0.6791 0.5681
F 0.4175 0.6147 0.8349
F 0.3399 0.0513 0.6797
F 0.6601 0.9487 0.3203
F 0.9549 0.1725 0.9098
F 0.2160 0.3209 0.4319
F 0.0451 0.8275 0.0902
Np 0.5000 0.0000 0.0000


Model x:
A plane-wave DFT calculation with PBE was carried out for NpCd2F8 after structural relaxation.

Calculated values
- theoretical density (kg/m3) = 5965
- M_tot (μB per cell) = 3.00
- symmetry = No. 12
- DOS at the Fermi energy (states/eV/f.u.) = 4.13

Unit cell a=3.9743 b=6.9051 c=6.5595 alpha=97.32 beta=90.00 gamma=106.73
Fractional positions:
F 0.1965 0.3931 0.5790
F 0.8035 0.6069 0.4210
F 0.0735 0.1471 0.1430
F 0.6831 0.3663 0.0550
F 0.4449 0.8898 0.2851
F 0.9265 0.8529 0.8570
F 0.5551 0.1102 0.7149
F 0.3169 0.6337 0.9450
Np 0.5000 0.0000 0.0000
Cd 0.7427 0.4854 0.7323
Cd 0.2573 0.5146 0.2677


Least stable = model w


Model w:
A plane-wave DFT calculation with PBE was carried out for CdOF3 after structural relaxation.

Calculated values
- theoretical density (kg/m3) = 3782
- M_tot (μB per cell) = 2.65
- symmetry = No. 221
- DOS at the Fermi energy (states/eV/f.u.) = 4.89

Unit cell a=4.3341 b=4.3341 c=4.3341 alpha=90.00 beta=90.00 gamma=90.00
Fractional positions:
F 0.5000 0.0000 0.0000
F 0.0000 0.0000 0.5000
F 0.0000 0.5000 0.0000
O 0.5000 0.5000 0.5000
Cd 0.0000 0.0000 0.0000


Model x:
A plane-wave DFT calculation with PBE was carried out for CdOF3 after structural relaxation.

Calculated values
- theoretical density (kg/m3) = 5154
- M_tot (μB per cell) = 0.00
- symmetry = No. 221
- DOS at the Fermi energy (states/eV/f.u.) = 1.52

Unit cell a=3.9091 b=3.9091 c=3.9091 alpha=90.00 beta=90.00 gamma=90.00
Fractional positions:
F 0.0000 0.5000 0.0000
F 0.5000 0.0000 0.0000
F 0.0000 0.0000 0.5000
O 0.0000 0.0000 0.0000
Cd 0.5000 0.5000 0.5000


Least stable = model x


Model w:
A plane-wave DFT calculation with PBE was carried out for Cd2OF after structural relaxation.

Calculated values
- theoretical density (kg/m3) = 7643
- M_tot (μB per cell) = 0.00
- symmetry = No. 225
- DOS at the Fermi energy (states/eV/f.u.) = 0.89

Unit cell a=4.3059 b=4.3059 c=4.3059 alpha=60.00 beta=60.00 gamma=60.00
Fractional positions:
Cd 0.7500 0.7500 0.7500
Cd 0.2500 0.2500 0.2500
O 0.0000 0.0000 0.0000
F 0.5000 0.5000 0.5000


Model x:
A plane-wave DFT calculation with PBE was carried out for Cd2OF after structural relaxation.

Calculated values
- theoretical density (kg/m3) = 5577
- M_tot (μB per cell) = 0.00
- symmetry = No. 166
- DOS at the Fermi energy (states/eV/f.u.) = 0.88

Unit cell a=3.6809 b=3.6809 c=6.9271 alpha=74.59 beta=74.59 gamma=60.00
Fractional positions:
Cd 0.8909 0.8909 0.3272
Cd 0.1091 0.1091 0.6728
O 0.5000 0.5000 0.5000
F 0.0000 0.0000 0.0000


Least stable = model w


Model w:
A plane-wave DFT calculation with PBE was carried out for Cd3O2F2 after structural relaxation.

Calculated values
- theoretical density (kg/m3) = 6258
- M_tot (μB per cell) = 0.00
- symmetry = No. 12
- DOS at the Fermi energy (states/eV/f.u.) = 0.87

Unit cell a=3.3083 b=6.0342 c=6.6718 alpha=121.97 beta=104.36 gamma=90.00
Fractional positions:
O 0.6394 0.7584 0.2787
O 0.3606 0.2416 0.7213
Cd 0.7163 0.1913 0.4325
Cd 0.2837 0.8087 0.5675
Cd 0.0000 0.5000 0.0000
F 0.1329 0.3119 0.2657
F 0.8671 0.6881 0.7343


Model x:
A plane-wave DFT calculation with PBE was carried out for Cd3O2F2 after structural relaxation.

Calculated values
- theoretical density (kg/m3) = 6154
- M_tot (μB per cell) = 0.00
- symmetry = No. 15
- DOS at the Fermi energy (states/eV/f.u.) = 0.38

Unit cell a=6.2582 b=9.0890 c=9.0890 alpha=81.43 beta=67.22 gamma=67.22
Fractional positions:
O 0.5969 0.3648 0.2245
O 0.9382 0.4173 0.8970
O 0.5618 0.1030 0.5827
O 0.9031 0.7755 0.6352
O 0.0969 0.2245 0.3648
O 0.4382 0.8970 0.4173
O 0.4031 0.6352 0.7755
O 0.0618 0.5827 0.1030
Cd 0.2083 0.1326 0.5724
Cd 0.6907 0.2929 0.4458
Cd 0.7917 0.8674 0.4276
Cd 0.6899 0.9953 0.7789
Cd 0.7083 0.5724 0.1326
Cd 0.3093 0.7071 0.5542
Cd 0.1899 0.7789 0.9953
Cd 0.1907 0.4458 0.2929
Cd 0.3101 0.0047 0.2211
Cd 0.8101 0.2211 0.0047
Cd 0.8093 0.5542 0.7071
Cd 0.2917 0.4276 0.8674
F 0.5308 0.8358 0.0013
F 0.9692 0.9987 0.1642
F 0.4692 0.1642 0.9987
F 0.0308 0.0013 0.8358
F 0.7500 0.5477 0.4523
F 0.2500 0.4523 0.5477
F 0.7500 0.2807 0.7193
F 0.2500 0.7193 0.2807


Least stable = model x


Model w:
A plane-wave DFT calculation with PBE was carried out for CdOsOF2 after structural relaxation.

Calculated values
- theoretical density (kg/m3) = 7910
- M_tot (μB per cell) = 0.00
- symmetry = No. 123
- DOS at the Fermi energy (states/eV/f.u.) = 3.63

Unit cell a=4.5013 b=4.5013 c=3.6952 alpha=90.00 beta=90.00 gamma=90.00
Fractional positions:
F 0.0000 0.5000 0.0000
F 0.5000 0.0000 0.0000
Os 0.0000 0.0000 0.0000
Cd 0.5000 0.5000 0.5000
O 0.0000 0.0000 0.5000


Model x:
A plane-wave DFT calculation with PBE was carried out for CdOsOF2 after structural relaxation.

Calculated values
- theoretical density (kg/m3) = 7314
- M_tot (μB per cell) = 4.25
- symmetry = No. 123
- DOS at the Fermi energy (states/eV/f.u.) = 4.50

Unit cell a=4.2565 b=4.2565 c=4.4692 alpha=90.00 beta=90.00 gamma=90.00
Fractional positions:
Os 0.5000 0.5000 0.5000
O 0.0000 0.0000 0.5000
F 0.0000 0.5000 0.0000
F 0.5000 0.0000 0.0000
Cd 0.0000 0.0000 0.0000


Least stable = model x


Model w:
A plane-wave DFT calculation with PBE was carried out for CdP2OF after structural relaxation.

Calculated values
- theoretical density (kg/m3) = 4525
- M_tot (μB per cell) = 0.00
- symmetry = No. 123
- DOS at the Fermi energy (states/eV/f.u.) = 2.87

Unit cell a=3.8061 b=5.3033 c=3.8061 alpha=90.00 beta=90.00 gamma=90.00
Fractional positions:
F 0.0000 0.5000 0.0000
P 0.5000 0.0000 0.0000
P 0.0000 0.0000 0.5000
Cd 0.5000 0.5000 0.5000
O 0.0000 0.0000 0.0000


Model x:
A plane-wave DFT calculation with PBE was carried out for CdP2OF after structural relaxation.

Calculated values
- theoretical density (kg/m3) = 4448
- M_tot (μB per cell) = 0.00
- symmetry = No. 123
- DOS at the Fermi energy (states/eV/f.u.) = 2.88

Unit cell a=4.0082 b=4.0082 c=4.8653 alpha=90.00 beta=90.00 gamma=90.00
Fractional positions:
F 0.0000 0.0000 0.0000
P 0.5000 0.0000 0.0000
P 0.0000 0.5000 0.0000
O 0.0000 0.0000 0.5000
Cd 0.5000 0.5000 0.5000


Model y:
A plane-wave DFT calculation with PBE was carried out for CdP2OF after structural relaxation.

Calculated values
- theoretical density (kg/m3) = 3400
- M_tot (μB per cell) = 0.00
- symmetry = No. 123
- DOS at the Fermi energy (states/eV/f.u.) = 4.24

Unit cell a=5.0059 b=5.0059 c=4.0806 alpha=90.00 beta=90.00 gamma=90.00
Fractional positions:
O 0.0000 0.0000 0.5000
P 0.0000 0.5000 0.0000
P 0.5000 0.0000 0.0000
F 0.5000 0.5000 0.5000
Cd 0.0000 0.0000 0.0000


Least stable = model y


Model w:
A plane-wave DFT calculation with PBE was carried out for CdPbOF2 after structural relaxation.

Calculated values
- theoretical density (kg/m3) = 7430
- M_tot (μB per cell) = 0.00
- symmetry = No. 63
- DOS at the Fermi energy (states/eV/f.u.) = 0.00

Unit cell a=3.6689 b=6.0444 c=7.9033 alpha=90.00 beta=90.00 gamma=107.67
Fractional positions:
Pb 0.7135 0.4269 0.2500
Pb 0.2865 0.5731 0.7500
F 0.3664 0.7327 0.0414
F 0.6336 0.2673 0.5414
F 0.3664 0.7327 0.4586
F 0.6336 0.2673 0.9586
O 0.9154 0.8308 0.7500
O 0.0846 0.1692 0.2500
Cd 0.0000 0.0000 0.0000
Cd 0.0000 0.0000 0.5000


Model x:
A plane-wave DFT calculation with PBE was carried out for CdPbOF2 after structural relaxation.

Calculated values
- theoretical density (kg/m3) = 7779
- M_tot (μB per cell) = 0.00
- symmetry = No. 123
- DOS at the Fermi energy (states/eV/f.u.) = 0.00

Unit cell a=4.2725 b=4.2725 c=4.3687 alpha=90.00 beta=90.00 gamma=90.00
Fractional positions:
Pb 0.5000 0.5000 0.5000
F 0.5000 0.0000 0.0000
F 0.0000 0.5000 0.0000
Cd 0.0000 0.0000 0.0000
O 0.0000 0.0000 0.5000


Least stable = model x


Model w:
A plane-wave DFT calculation with PBE was carried out for CdPtOF2 after structural relaxation.

Calculated values
- theoretical density (kg/m3) = 7801
- M_tot (μB per cell) = 0.00
- symmetry = No. 123
- DOS at the Fermi energy (states/eV/f.u.) = 3.76

Unit cell a=4.4648 b=4.4648 c=3.8601 alpha=90.00 beta=90.00 gamma=90.00
Fractional positions:
F 0.0000 0.5000 0.0000
F 0.5000 0.0000 0.0000
Pt 0.0000 0.0000 0.0000
Cd 0.5000 0.5000 0.5000
O 0.0000 0.0000 0.5000


Model x:
A plane-wave DFT calculation with PBE was carried out for CdPtOF2 after structural relaxation.

Calculated values
- theoretical density (kg/m3) = 7484
- M_tot (μB per cell) = 1.98
- symmetry = No. 123
- DOS at the Fermi energy (states/eV/f.u.) = 3.27

Unit cell a=4.2466 b=4.2466 c=4.4477 alpha=90.00 beta=90.00 gamma=90.00
Fractional positions:
F 0.5000 0.0000 0.0000
F 0.0000 0.5000 0.0000
Cd 0.0000 0.0000 0.0000
O 0.0000 0.0000 0.5000
Pt 0.5000 0.5000 0.5000


Least stable = model x


Model w:
A plane-wave DFT calculation with PBE was carried out for CdRhOF2 after structural relaxation.

Calculated values
- theoretical density (kg/m3) = 5586
- M_tot (μB per cell) = 2.89
- symmetry = No. 123
- DOS at the Fermi energy (states/eV/f.u.) = 4.86

Unit cell a=4.3133 b=4.3133 c=4.3034 alpha=90.00 beta=90.00 gamma=90.00
Fractional positions:
O 0.0000 0.0000 0.5000
F 0.5000 0.0000 0.0000
F 0.0000 0.5000 0.0000
Cd 0.0000 0.0000 0.0000
Rh 0.5000 0.5000 0.5000


Model x:
A plane-wave DFT calculation with PBE was carried out for CdRhOF2 after structural relaxation.

Calculated values
- theoretical density (kg/m3) = 6087
- M_tot (μB per cell) = 0.00
- symmetry = No. 123
- DOS at the Fermi energy (states/eV/f.u.) = 4.35

Unit cell a=4.4234 b=4.4234 c=3.7551 alpha=90.00 beta=90.00 gamma=90.00
Fractional positions:
F 0.0000 0.5000 0.0000
F 0.5000 0.0000 0.0000
O 0.0000 0.0000 0.5000
Cd 0.5000 0.5000 0.5000
Rh 0.0000 0.0000 0.0000


Least stable = model w


Model w:
A plane-wave DFT calculation with PBE was carried out for TaCdOF2 after structural relaxation.

Calculated values
- theoretical density (kg/m3) = 7648
- M_tot (μB per cell) = 1.05
- symmetry = No. 123
- DOS at the Fermi energy (states/eV/f.u.) = 1.99

Unit cell a=4.3782 b=4.3782 c=3.9343 alpha=90.00 beta=90.00 gamma=90.00
Fractional positions:
Cd 0.5000 0.5000 0.5000
F 0.0000 0.5000 0.0000
F 0.5000 0.0000 0.0000
O 0.0000 0.0000 0.5000
Ta 0.0000 0.0000 0.0000


Model x:
A plane-wave DFT calculation with PBE was carried out for TaCdOF2 after structural relaxation.

Calculated values
- theoretical density (kg/m3) = 7175
- M_tot (μB per cell) = 2.93
- symmetry = No. 123
- DOS at the Fermi energy (states/eV/f.u.) = 7.49

Unit cell a=4.2102 b=4.2102 c=4.5351 alpha=90.00 beta=90.00 gamma=90.00
Fractional positions:
F 0.5000 0.0000 0.0000
F 0.0000 0.5000 0.0000
Ta 0.5000 0.5000 0.5000
Cd 0.0000 0.0000 0.0000
O 0.0000 0.0000 0.5000


Least stable = model x


Model w:
A plane-wave DFT calculation with PBE was carried out for CdTcOF2 after structural relaxation.

Calculated values
- theoretical density (kg/m3) = 5390
- M_tot (μB per cell) = 5.02
- symmetry = No. 123
- DOS at the Fermi energy (states/eV/f.u.) = 0.25

Unit cell a=4.2988 b=4.2988 c=4.4079 alpha=90.00 beta=90.00 gamma=90.00
Fractional positions:
Tc 0.5000 0.5000 0.5000
Cd 0.0000 0.0000 0.0000
F 0.0000 0.5000 0.0000
F 0.5000 0.0000 0.0000
O 0.0000 0.0000 0.5000


Model x:
A plane-wave DFT calculation with PBE was carried out for CdTcOF2 after structural relaxation.

Calculated values
- theoretical density (kg/m3) = 6152
- M_tot (μB per cell) = 0.00
- symmetry = No. 123
- DOS at the Fermi energy (states/eV/f.u.) = 3.88

Unit cell a=4.3475 b=4.3475 c=3.7758 alpha=90.00 beta=90.00 gamma=90.00
Fractional positions:
O 0.0000 0.0000 0.5000
F 0.5000 0.0000 0.0000
F 0.0000 0.5000 0.0000
Tc 0.0000 0.0000 0.0000
Cd 0.5000 0.5000 0.5000


Least stable = model w


Model w:
A plane-wave DFT calculation with PBE was carried out for CdTeOF2 after structural relaxation.

Calculated values
- theoretical density (kg/m3) = 5664
- M_tot (μB per cell) = 1.30
- symmetry = No. 123
- DOS at the Fermi energy (states/eV/f.u.) = 2.24

Unit cell a=4.2466 b=4.2466 c=4.7796 alpha=90.00 beta=90.00 gamma=90.00
Fractional positions:
O 0.0000 0.0000 0.5000
F 0.5000 0.0000 0.0000
F 0.0000 0.5000 0.0000
Cd 0.0000 0.0000 0.0000
Te 0.5000 0.5000 0.5000


Model x:
A plane-wave DFT calculation with PBE was carried out for CdTeOF2 after structural relaxation.

Calculated values
- theoretical density (kg/m3) = 5406
- M_tot (μB per cell) = 0.00
- symmetry = No. 123
- DOS at the Fermi energy (states/eV/f.u.) = 2.00

Unit cell a=4.7062 b=4.7062 c=4.0778 alpha=90.00 beta=90.00 gamma=90.00
Fractional positions:
Cd 0.5000 0.5000 0.5000
F 0.0000 0.5000 0.0000
F 0.5000 0.0000 0.0000
Te 0.0000 0.0000 0.0000
O 0.0000 0.0000 0.5000


Least stable = model w